4
Lattice="-2.347 -8.413 0.107 0.063 -8.638 1.291 -2.107 -8.014 2.762" Properties=species:S:1:pos:R:3 comment="GGA-PBE CoOsRu2, optimized geometry" delta_e_f_ev_per_atom=0.1923 spacegroup=R-3m de_polymorph_mev_per_atom=53 rho_g_cm3=13.9 pbc="T T T"
Ru -4.384 -25.024 4.153
Ru -2.203 -12.574 2.087
Os -3.293 -18.799 3.120
Co -1.098 -6.266 1.040

4
Lattice="4.491 0.000 0.000 0.000 4.491 0.000 0.000 0.000 2.744" Properties=species:S:1:pos:R:3 comment="GGA-PBE CoOsRu2, optimized geometry" delta_e_f_ev_per_atom=0.4766 spacegroup=P4/mmm de_polymorph_mev_per_atom=338 rho_g_cm3=13.5 pbc="T T T"
Ru 2.246 2.246 0.000
Co 2.246 0.000 1.372
Os 0.000 2.246 1.372
Ru 0.000 0.000 0.000

4
Lattice="-0.811 1.053 -4.764 0.030 -3.721 -3.258 -2.066 1.973 4.038" Properties=species:S:1:pos:R:3 comment="GGA-PBE Co2OsRu, optimized geometry" delta_e_f_ev_per_atom=0.2949 spacegroup=Imm2 de_polymorph_mev_per_atom=164 rho_g_cm3=13.5 pbc="T T T"
Co -1.644 0.811 -2.474
Ru -1.205 -1.514 -1.533
Co -0.769 -2.627 -7.898
Os -0.400 -1.368 -4.113

4
Lattice="-1.825 -0.056 -1.942 0.414 -2.614 -0.313 -5.046 -1.372 4.782" Properties=species:S:1:pos:R:3 comment="GGA-PBE Co2OsRu, optimized geometry" delta_e_f_ev_per_atom=0.1654 spacegroup=P4mm de_polymorph_mev_per_atom=35 rho_g_cm3=13.5 pbc="T T T"
Os -2.471 -0.672 2.342
Co -1.909 -1.662 0.013
Co -0.068 -0.018 0.064
Ru -4.532 -2.375 2.499

4
Lattice="5.169 -0.001 0.001 2.609 4.462 -0.001 -3.344 -3.181 2.327" Properties=species:S:1:pos:R:3 comment="GGA-PBE CoOsRu2, optimized geometry" delta_e_f_ev_per_atom=0.3903 spacegroup=Immm de_polymorph_mev_per_atom=251 rho_g_cm3=14.0 pbc="T T T"
Os 1.577 1.756 1.163
Co 2.857 -0.476 1.164
Ru 7.583 4.349 0.000
Ru 4.084 2.342 0.000

4
Lattice="-3.874 -0.191 2.332 -4.503 -0.405 -0.213 -0.401 -4.409 0.470" Properties=species:S:1:pos:R:3 comment="GGA-PBE Co2OsRu, optimized geometry" delta_e_f_ev_per_atom=0.1425 spacegroup=Cm de_polymorph_mev_per_atom=12 rho_g_cm3=13.6 pbc="T T T"
Os -4.370 -2.522 1.291
Ru -2.206 -1.242 0.649
Co -6.573 -3.788 1.942
Co -0.419 -4.363 0.471

4
Lattice="2.606 -0.004 0.000 -1.170 2.329 0.000 0.000 0.000 8.635" Properties=species:S:1:pos:R:3 comment="GGA-PBE Co2OsRu, optimized geometry" delta_e_f_ev_per_atom=0.4190 spacegroup=Cmmm de_polymorph_mev_per_atom=288 rho_g_cm3=13.0 pbc="T T T"
Ru 0.718 1.162 6.476
Co 0.000 0.000 8.629
Os 0.718 1.162 2.159
Co 0.000 0.000 4.323

4
Lattice="-3.359 2.011 -1.112 -1.453 -1.495 1.687 0.055 2.530 4.410" Properties=species:S:1:pos:R:3 comment="GGA-PBE CoOsRu2, optimized geometry" delta_e_f_ev_per_atom=0.1643 spacegroup=Amm2 de_polymorph_mev_per_atom=25 rho_g_cm3=14.0 pbc="T T T"
Co -0.989 0.167 3.290
Ru -2.085 1.318 1.233
Os -2.450 2.085 3.725
Ru -1.331 1.030 5.885

4
Lattice="-1.360 0.628 -3.674 -1.367 -2.211 0.128 -4.381 1.286 1.841" Properties=species:S:1:pos:R:3 comment="GGA-PBE Co2OsRu, optimized geometry" delta_e_f_ev_per_atom=0.1342 spacegroup=Amm2 de_polymorph_mev_per_atom=4 rho_g_cm3=13.9 pbc="T T T"
Co -1.891 0.516 -1.354
Co -4.614 0.857 1.854
Os -2.661 -0.406 0.916
Ru -5.197 -0.441 -0.294

4
Lattice="-3.718 0.295 2.466 2.541 -3.277 1.671 1.181 1.720 1.576" Properties=species:S:1:pos:R:3 comment="GGA-PBE Co2OsRu, optimized geometry" delta_e_f_ev_per_atom=0.1793 spacegroup=Cmmm de_polymorph_mev_per_atom=49 rho_g_cm3=13.7 pbc="T T T"
Co -0.589 -1.491 2.068
Co 0.000 0.000 0.000
Ru 1.861 -0.779 1.624
Os -1.268 1.007 2.021

4
Lattice="-0.883 2.410 3.177 2.191 -0.266 3.436 2.918 3.433 0.832" Properties=species:S:1:pos:R:3 comment="GGA-PBE CoOsRu2, optimized geometry" delta_e_f_ev_per_atom=0.4970 spacegroup=R3m de_polymorph_mev_per_atom=358 rho_g_cm3=13.2 pbc="T T T"
Co 3.523 4.569 5.389
Ru 2.590 3.074 1.014
Ru 0.921 1.245 1.936
Os 2.225 2.910 3.661

4
Lattice="-2.787 3.248 0.299 -2.471 -1.846 -2.982 -1.356 -1.343 1.955" Properties=species:S:1:pos:R:3 comment="GGA-PBE Co2OsRu, optimized geometry" delta_e_f_ev_per_atom=0.3499 spacegroup=P4/mmm de_polymorph_mev_per_atom=219 rho_g_cm3=13.5 pbc="T T T"
Co 0.000 0.000 0.000
Os -2.071 0.953 1.127
Co -2.629 0.701 -1.342
Ru -1.913 -1.594 -0.514